# YTe2Au

A relaxed structure of YTe2Au (PBE, Alexandria via LeMat-Bulk).

Structure (CIF):
```
data_YTe2Au
_cell_length_a 5.9721
_cell_length_b 5.4091
_cell_length_c 6.9828
_cell_angle_alpha 90.00
_cell_angle_beta 103.68
_cell_angle_gamma 90.00
_space_group_name_H-M_alt 'P 1 21/m 1'
_space_group_IT_number 11
loop_
_space_group_symop_operation_xyz
'x,y,z'
'-x,-y,-z'
'-x,y+1/2,-z'
'x,-y+1/2,z'
loop_
_atom_site_label
_atom_site_type_symbol
_atom_site_fract_x
_atom_site_fract_y
_atom_site_fract_z
Y1 Y 0.1338 0.2500 0.3181
Te1 Te 0.2520 0.2500 0.9193
Te2 Te 0.3060 0.7500 0.5153
Au1 Au 0.2524 0.7500 0.0833
```

## Properties
As for the total magnetization: 0.00 μB/atom. The formation energy from raw total energies is -816 meV/atom.

=====

# YTe3Au2

A relaxed structure of YTe3Au2 (PBE, Alexandria via LeMat-Bulk).

Structure (CIF):
```
data_YTe3Au2
_cell_length_a 22.0434
_cell_length_b 4.2426
_cell_length_c 7.7274
_cell_angle_alpha 90.00
_cell_angle_beta 97.72
_cell_angle_gamma 90.00
_space_group_name_H-M_alt 'C 1 2/m 1'
_space_group_IT_number 12
loop_
_space_group_symop_operation_xyz
'x,y,z'
'-x,-y,-z'
'-x,y,-z'
'x,-y,z'
'x+1/2,y+1/2,z'
'-x+1/2,-y+1/2,-z'
'-x+1/2,y+1/2,-z'
'x+1/2,-y+1/2,z'
loop_
_atom_site_label
_atom_site_type_symbol
_atom_site_fract_x
_atom_site_fract_y
_atom_site_fract_z
Y1 Y 0.1493 0.0000 0.0442
Te1 Te 0.0810 0.0000 0.3740
Te2 Te 0.0812 0.5000 0.8107
Te3 Te 0.2482 0.5000 0.2065
Au1 Au 0.0494 0.5000 0.1499
Au2 Au 0.2047 0.0000 0.4409
```

## Properties
As for the total magnetization: 0.00 μB/atom. The formation energy from raw total energies is -593 meV/atom.

=====

# YTe2Au

A relaxed structure of YTe2Au (PBE, Alexandria via LeMat-Bulk).

Structure (CIF):
```
data_YTe2Au
_cell_length_a 6.1942
_cell_length_b 12.8115
_cell_length_c 6.3641
_cell_angle_alpha 90.00
_cell_angle_beta 90.00
_cell_angle_gamma 90.00
_space_group_name_H-M_alt 'P n a 21'
_space_group_IT_number 33
loop_
_space_group_symop_operation_xyz
'x,y,z'
'-x,-y,z+1/2'
'-x+1/2,y+1/2,z+1/2'
'x+1/2,-y+1/2,z'
loop_
_atom_site_label
_atom_site_type_symbol
_atom_site_fract_x
_atom_site_fract_y
_atom_site_fract_z
Y1 Y 0.0042 0.1304 0.0000
Te1 Te 0.0009 0.3694 0.9452
Te2 Te 0.0164 0.8859 0.0067
Au1 Au 0.1528 0.6968 0.8219
```

## Properties
As for the total magnetization: 0.00 μB/atom. The formation energy from raw total energies is -854 meV/atom.

=====

Which value of formation energy from raw total energies does entry 3 give? -854 meV/atom